[1]
DFT (GGA-PBE) results for AsPICl2 after structural relaxation.

Cell: 5.3637 5.3637 5.5680 Å, 90.00 90.00 90.00°
Last column: nearest neighbours and their distance in Å.
Sites, in units of the cell vectors:
As1 0.0000 0.0000 0.0000  4 P 3.79, 8 Cl 3.87
P1 0.5000 0.5000 0.0000  2 I 2.78
I1 0.5000 0.5000 0.5000  4 Cl 2.68, 2 P 2.78
Cl1 0.0000 0.5000 0.5000  2 I 2.68
Cl2 0.5000 0.0000 0.5000  2 I 2.68

Properties
Its space group is P4/mmm, No. 123. As for the uncorrected energy: -2.12 eV/atom. The formation energy (no corrections) is 0.94 eV per atom.



[2]
DFT (GGA-PBE) results for AsPICl2 after structural relaxation.

Cell: 4.7708 4.7708 5.6668 Å, 90.00 90.00 90.00°
Last column: nearest neighbours and their distance in Å.
Sites, in units of the cell vectors:
As1 0.0000 0.0000 0.0000  4 Cl 2.39
P1 0.0000 0.0000 0.5000  2 As 2.83
I1 0.5000 0.5000 0.5000  4 P 3.37, 8 Cl 3.70
Cl1 0.0000 0.5000 0.0000  2 As 2.39
Cl2 0.5000 0.0000 0.0000  2 As 2.39

Properties
Its space group is P4/mmm, No. 123. As for the uncorrected energy: -2.84 eV/atom. The formation energy (no corrections) is 0.22 eV per atom.



[3]
DFT (GGA-PBE) results for As2Pb4S6ICl after structural relaxation.

Cell: 6.7878 11.7014 9.8277 Å, 90.00 90.00 90.00°
Last column: nearest neighbours and their distance in Å.
Sites, in units of the cell vectors:
As1 0.0000 0.1683 0.0000  3 S 2.27-2.28
As2 0.0000 0.6689 0.5785  3 S 2.26-2.28
As3 0.5000 0.3311 0.0785  3 S 2.26-2.28
As4 0.5000 0.8317 0.5000  3 S 2.27-2.28
Pb1 0.0000 0.3682 0.3337  3 S 2.80-2.84
Pb2 0.0000 0.4325 0.8210  2 S 2.84, 1 I 3.15
Pb3 0.0000 0.8695 0.2443  3 S 2.82-2.86
Pb4 0.0000 0.9189 0.7713  1 Cl 2.79, 2 S 2.87
Pb5 0.5000 0.0811 0.2713  1 Cl 2.79, 2 S 2.87
Pb6 0.5000 0.1305 0.7443  3 S 2.82-2.86
Pb7 0.5000 0.5675 0.3210  2 S 2.84, 1 I 3.15
Pb8 0.5000 0.6318 0.8337  3 S 2.80-2.84
S1 0.0000 0.1457 0.2297  1 As 2.27
S2 0.0000 0.6454 0.3501  1 As 2.26
S3 0.2477 0.5438 0.6288  1 As 2.28
S4 0.2493 0.0437 0.9537  1 As 2.28
S5 0.2507 0.9563 0.4537  1 As 2.28
S6 0.2523 0.4562 0.1288  1 As 2.28
S7 0.5000 0.3546 0.8501  1 As 2.26
S8 0.5000 0.8543 0.7297  1 As 2.27
S9 0.7477 0.4562 0.1288  1 As 2.28
S10 0.7493 0.9563 0.4537  1 As 2.28
S11 0.7507 0.0437 0.9537  1 As 2.28
S12 0.7523 0.5438 0.6288  1 As 2.28
I1 0.0000 0.2105 0.6401  1 Pb 3.15
I2 0.5000 0.7895 0.1401  1 Pb 3.15
Cl1 0.0000 0.7151 0.9189  1 Pb 2.79
Cl2 0.5000 0.2849 0.4189  1 Pb 2.79

Properties
Its space group is Pmn2_1, No. 31. As for the uncorrected energy: -4.20 eV/atom. The formation energy (no corrections) is -0.47 eV per atom.



[4]
DFT (GGA-PBE) results for Rb2AsICl6 after structural relaxation.

Cell: 7.9905 7.9905 7.9905 Å, 122.55 122.55 85.63°
Last column: nearest neighbours and their distance in Å.
Sites, in units of the cell vectors:
Rb1 0.2500 0.7500 0.5000  12 Cl 3.87-4.01
Rb2 0.7500 0.2500 0.5000  12 Cl 3.87-4.01
As1 0.0000 0.0000 0.0000  6 Cl 2.41-2.43
I1 0.5000 0.5000 0.0000  4 Cl 3.02
Cl1 0.2076 0.2076 0.0000  1 As 2.43
Cl2 0.2220 0.2220 0.4440  1 As 2.41
Cl3 0.2220 0.7780 0.0000  1 As 2.41
Cl4 0.7780 0.2220 0.0000  1 As 2.41
Cl5 0.7780 0.7780 0.5560  1 As 2.41
Cl6 0.7924 0.7924 0.0000  1 As 2.43

Properties
Its space group is I4/mmm, No. 139. As for the uncorrected energy: -2.92 eV/atom. The formation energy (no corrections) is -1.00 eV per atom.



[5]
DFT (GGA-PBE) results for Rb2AsI2Cl4 after structural relaxation.

Cell: 7.3443 7.3443 7.3443 Å, 111.17 111.17 106.13°
Last column: nearest neighbours and their distance in Å.
Sites, in units of the cell vectors:
Rb1 0.2500 0.7500 0.5000  8 Cl 3.70
Rb2 0.7500 0.2500 0.5000  8 Cl 3.70
As1 0.0000 0.0000 0.0000  4 Cl 2.46
I1 0.3181 0.3181 0.0000  1 As 2.81
I2 0.6819 0.6819 0.0000  1 As 2.81
Cl1 0.2099 0.2099 0.4198  1 As 2.46
Cl2 0.2099 0.7901 0.0000  1 As 2.46
Cl3 0.7901 0.2099 0.0000  1 As 2.46
Cl4 0.7901 0.7901 0.5802  1 As 2.46

Properties
Its space group is I4/mmm, No. 139. As for the uncorrected energy: -2.94 eV/atom. The formation energy (no corrections) is -1.04 eV per atom.



[6]
DFT (GGA-PBE) results for Re2AsICl after structural relaxation.

Cell: 4.9729 4.9729 5.5570 Å, 90.00 90.00 90.00°
Last column: nearest neighbours and their distance in Å.
Sites, in units of the cell vectors:
Re1 0.0000 0.5000 0.0000  2 I 2.49
Re2 0.5000 0.0000 0.0000  2 I 2.49
As1 0.0000 0.0000 0.5000  2 I 2.78
I1 0.0000 0.0000 0.0000  4 Re 2.49, 2 As 2.78
Cl1 0.5000 0.5000 0.5000  4 As 3.52, 8 Re 3.73

Properties
Its space group is P4/mmm, No. 123. As for the uncorrected energy: -4.02 eV/atom. The formation energy (no corrections) is 2.57 eV per atom.